IrRh2Se at its PBEsol-relaxed geometry. Source: Alexandria via LeMat-Bulk, functional SCAN.

Summary:
Uncorrected formation energy: 383 meV/atom
Total moment: 0.00 μB per atom
Space-group type: Cmmm, No. 65
E: -157.19 eV per formula unit
Crystal system: orthorhombic

a b c (Å): 2.7154 4.7535 9.0473
angles (deg): 90.00 90.00 90.00
With the nearest neighbours (Å) after each atom.
Element x y z (fractional)
Ir  0.0000  0.0000  0.0000  4 Rh 2.64, 6 Ir 2.72-2.74
Ir  0.5000  0.5000  0.0000  4 Rh 2.64, 6 Ir 2.72-2.74
Rh  0.0000  0.5000  0.2504  2 Se 2.64, 2 Ir 2.64, 6 Rh 2.72-2.74
Rh  0.0000  0.5000  0.7496  2 Se 2.64, 2 Ir 2.64, 6 Rh 2.72-2.74
Rh  0.5000  0.0000  0.2504  2 Se 2.64, 2 Ir 2.64, 6 Rh 2.72-2.74
Rh  0.5000  0.0000  0.7496  2 Se 2.64, 2 Ir 2.64, 6 Rh 2.72-2.74
Se  0.0000  0.0000  0.5000  4 Rh 2.64, 6 Se 2.72-2.74
Se  0.5000  0.5000  0.5000  4 Rh 2.64, 6 Se 2.72-2.74

***

SiIrRh at its PBEsol-relaxed geometry. Source: Alexandria via LeMat-Bulk, functional SCAN.

Summary:
Uncorrected formation energy: -705 meV/atom
Total moment: 0.00 μB per atom
Space-group type: F-43m, No. 216
E: -117.00 eV per formula unit
Crystal system: cubic

a b c (Å): 5.5732 5.5732 5.5732
angles (deg): 90.00 90.00 90.00
With the nearest neighbours (Å) after each atom.
Element x y z (fractional)
Si  0.0000  0.0000  0.0000  4 Rh 2.41, 4 Ir 2.41
Si  0.0000  0.5000  0.5000  4 Ir 2.41, 4 Rh 2.41
Si  0.5000  0.0000  0.5000  4 Ir 2.41, 4 Rh 2.41
Si  0.5000  0.5000  0.0000  4 Ir 2.41, 4 Rh 2.41
Ir  0.2500  0.2500  0.7500  4 Si 2.41
Ir  0.2500  0.7500  0.2500  4 Si 2.41
Ir  0.7500  0.2500  0.2500  4 Si 2.41
Ir  0.7500  0.7500  0.7500  4 Si 2.41
Rh  0.2500  0.2500  0.2500  4 Si 2.41
Rh  0.2500  0.7500  0.7500  4 Si 2.41
Rh  0.7500  0.2500  0.7500  4 Si 2.41
Rh  0.7500  0.7500  0.2500  4 Si 2.41

***

Si2IrRh at its PBEsol-relaxed geometry. Source: Alexandria via LeMat-Bulk, functional SCAN.

Summary:
Uncorrected formation energy: -468 meV/atom
Total moment: 0.00 μB per atom
Space-group type: Imm2, No. 44
E: -126.77 eV per formula unit
Crystal system: orthorhombic

a b c (Å): 2.9450 3.9885 9.0668
angles (deg): 90.00 90.00 90.00
With the nearest neighbours (Å) after each atom.
Element x y z (fractional)
Si  0.0000  0.0000  0.0000  4 Ir 2.48, 2 Rh 2.52
Si  0.0000  0.5000  0.2345  4 Rh 2.48, 2 Ir 2.52
Si  0.5000  0.0000  0.7345  4 Rh 2.48, 2 Ir 2.52
Si  0.5000  0.5000  0.5000  4 Ir 2.48, 2 Rh 2.52
Ir  0.0000  0.0000  0.5092  6 Si 2.48-2.52
Ir  0.5000  0.5000  0.0092  6 Si 2.48-2.52
Rh  0.0000  0.5000  0.7261  6 Si 2.48-2.52
Rh  0.5000  0.0000  0.2261  6 Si 2.48-2.52

***

Sm2IrRh at its PBEsol-relaxed geometry. Source: Alexandria via LeMat-Bulk, functional SCAN.

Summary:
Total moment: 0.00 μB per atom
Space-group type: Fm-3m, No. 225
E: -197.11 eV per formula unit
Crystal system: cubic
Energy relative to the elements: -0.839 eV/atom

a b c (Å): 6.8877 6.8877 6.8877
angles (deg): 90.00 90.00 90.00
With the nearest neighbours (Å) after each atom.
Element x y z (fractional)
Sm  0.2500  0.2500  0.2500  4 Ir 2.98, 4 Rh 2.98
Sm  0.2500  0.2500  0.7500  4 Ir 2.98, 4 Rh 2.98
Sm  0.2500  0.7500  0.2500  4 Ir 2.98, 4 Rh 2.98
Sm  0.2500  0.7500  0.7500  4 Ir 2.98, 4 Rh 2.98
Sm  0.7500  0.2500  0.2500  4 Ir 2.98, 4 Rh 2.98
Sm  0.7500  0.2500  0.7500  4 Ir 2.98, 4 Rh 2.98
Sm  0.7500  0.7500  0.2500  4 Ir 2.98, 4 Rh 2.98
Sm  0.7500  0.7500  0.7500  4 Ir 2.98, 4 Rh 2.98
Ir  0.0000  0.0000  0.0000  8 Sm 2.98
Ir  0.0000  0.5000  0.5000  8 Sm 2.98
Ir  0.5000  0.0000  0.5000  8 Sm 2.98
Ir  0.5000  0.5000  0.0000  8 Sm 2.98
Rh  0.0000  0.0000  0.5000  8 Sm 2.98
Rh  0.0000  0.5000  0.0000  8 Sm 2.98
Rh  0.5000  0.0000  0.0000  8 Sm 2.98
Rh  0.5000  0.5000  0.5000  8 Sm 2.98

***

SnIrRh3 at its PBEsol-relaxed geometry. Source: Alexandria via LeMat-Bulk, functional SCAN.

Summary:
Total moment: 0.74 μB per atom
Space-group type: Pm-3m, No. 221
E: -198.92 eV per formula unit
Crystal system: cubic
Energy relative to the elements: 1.883 eV/atom

a b c (Å): 4.6647 4.6647 4.6647
angles (deg): 90.00 90.00 90.00
With the nearest neighbours (Å) after each atom.
Element x y z (fractional)
Sn  0.0000  0.0000  0.0000  6 Rh 2.33
Ir  0.5000  0.5000  0.5000  12 Rh 3.30
Rh  0.0000  0.0000  0.5000  2 Sn 2.33
Rh  0.0000  0.5000  0.0000  2 Sn 2.33
Rh  0.5000  0.0000  0.0000  2 Sn 2.33

***

Sn3IrRh at its PBEsol-relaxed geometry. Source: Alexandria via LeMat-Bulk, functional SCAN.

Summary:
Total moment: 0.00 μB per atom
Space-group type: Pm-3m, No. 221
E: -209.62 eV per formula unit
Crystal system: cubic
Energy relative to the elements: 0.603 eV/atom

a b c (Å): 4.9806 4.9806 4.9806
angles (deg): 90.00 90.00 90.00
With the nearest neighbours (Å) after each atom.
Element x y z (fractional)
Sn  0.0000  0.0000  0.5000  2 Ir 2.49
Sn  0.0000  0.5000  0.0000  2 Ir 2.49
Sn  0.5000  0.0000  0.0000  2 Ir 2.49
Ir  0.0000  0.0000  0.0000  6 Sn 2.49
Rh  0.5000  0.5000  0.5000  12 Sn 3.52

***

Sn2IrRh2 at its PBEsol-relaxed geometry. Source: Alexandria via LeMat-Bulk, functional SCAN.

Summary:
Total moment: 0.00 μB per atom
Space-group type: I4/mmm, No. 139
E: -207.81 eV per formula unit
Crystal system: tetragonal
Energy relative to the elements: 0.536 eV/atom

a b c (Å): 3.9649 3.9649 11.5025
angles (deg): 90.00 90.00 90.00
With the nearest neighbours (Å) after each atom.
Element x y z (fractional)
Sn  0.0000  0.5000  0.2500  4 Rh 2.60, 4 Sn 2.80
Sn  0.0000  0.5000  0.7500  4 Rh 2.60, 4 Sn 2.80
Sn  0.5000  0.0000  0.2500  4 Rh 2.60, 4 Sn 2.80
Sn  0.5000  0.0000  0.7500  4 Rh 2.60, 4 Sn 2.80
Ir  0.0000  0.0000  0.0000  8 Rh 3.05
Ir  0.5000  0.5000  0.5000  8 Rh 3.05
Rh  0.0000  0.0000  0.3966  1 Rh 2.38, 4 Sn 2.60
Rh  0.0000  0.0000  0.6034  1 Rh 2.38, 4 Sn 2.60
Rh  0.5000  0.5000  0.1034  1 Rh 2.38, 4 Sn 2.60
Rh  0.5000  0.5000  0.8966  1 Rh 2.38, 4 Sn 2.60

***

Sr2IrRh at its PBEsol-relaxed geometry. Source: Alexandria via LeMat-Bulk, functional SCAN.

Summary:
Total moment: 0.28 μB per atom
Space-group type: F-43m, No. 216
E: -148.16 eV per formula unit
Crystal system: cubic
Energy relative to the elements: 0.316 eV/atom

a b c (Å): 6.9607 6.9607 6.9607
angles (deg): 90.00 90.00 90.00
With the nearest neighbours (Å) after each atom.
Element x y z (fractional)
Sr  0.0000  0.0000  0.0000  4 Ir 3.01, 4 Sr 3.01
Sr  0.0000  0.5000  0.5000  4 Ir 3.01, 4 Sr 3.01
Sr  0.2500  0.2500  0.2500  4 Sr 3.01, 4 Rh 3.01
Sr  0.2500  0.7500  0.7500  4 Sr 3.01, 4 Rh 3.01
Sr  0.5000  0.0000  0.5000  4 Ir 3.01, 4 Sr 3.01
Sr  0.5000  0.5000  0.0000  4 Ir 3.01, 4 Sr 3.01
Sr  0.7500  0.2500  0.7500  4 Sr 3.01, 4 Rh 3.01
Sr  0.7500  0.7500  0.2500  4 Sr 3.01, 4 Rh 3.01
Ir  0.2500  0.2500  0.7500  4 Rh 3.01, 4 Sr 3.01
Ir  0.2500  0.7500  0.2500  4 Rh 3.01, 4 Sr 3.01
Ir  0.7500  0.2500  0.2500  4 Rh 3.01, 4 Sr 3.01
Ir  0.7500  0.7500  0.7500  4 Rh 3.01, 4 Sr 3.01
Rh  0.0000  0.0000  0.5000  4 Sr 3.01, 4 Ir 3.01
Rh  0.0000  0.5000  0.0000  4 Sr 3.01, 4 Ir 3.01
Rh  0.5000  0.0000  0.0000  4 Sr 3.01, 4 Ir 3.01
Rh  0.5000  0.5000  0.5000  4 Sr 3.01, 4 Ir 3.01

***

Sr2IrRh at its PBEsol-relaxed geometry. Source: Alexandria via LeMat-Bulk, functional SCAN.

Summary:
Total moment: 0.00 μB per atom
Space-group type: Amm2, No. 38
E: -150.73 eV per formula unit
Crystal system: orthorhombic
Energy relative to the elements: -0.328 eV/atom

a b c (Å): 4.4961 4.6821 10.2085
angles (deg): 90.00 90.00 90.00
With the nearest neighbours (Å) after each atom.
Element x y z (fractional)
Sr  0.0000  0.0000  0.0000  3 Ir 3.02-3.19
Sr  0.0000  0.5000  0.5000  3 Ir 3.02-3.19
Sr  0.5000  0.0000  0.2928  3 Rh 3.01-3.22
Sr  0.5000  0.5000  0.7928  3 Rh 3.01-3.22
Ir  0.0000  0.0000  0.6874  2 Rh 2.39
Ir  0.0000  0.5000  0.1874  2 Rh 2.39
Rh  0.5000  0.0000  0.6082  2 Ir 2.39
Rh  0.5000  0.5000  0.1082  2 Ir 2.39

***

Sr2IrRh at its PBEsol-relaxed geometry. Source: Alexandria via LeMat-Bulk, functional SCAN.

Summary:
Total moment: 0.00 μB per atom
Space-group type: I-4m2, No. 119
E: -148.31 eV per formula unit
Crystal system: tetragonal
Energy relative to the elements: 0.278 eV/atom

a b c (Å): 4.2698 4.2698 9.4904
angles (deg): 90.00 90.00 90.00
With the nearest neighbours (Å) after each atom.
Element x y z (fractional)
Sr  0.0000  0.0000  0.0000  4 Ir 3.02, 4 Rh 3.19, 4 Sr 3.19
Sr  0.0000  0.5000  0.2500  4 Rh 3.02, 4 Ir 3.19, 4 Sr 3.19
Sr  0.5000  0.0000  0.7500  4 Rh 3.02, 4 Ir 3.19, 4 Sr 3.19
Sr  0.5000  0.5000  0.5000  4 Ir 3.02, 4 Rh 3.19, 4 Sr 3.19
Ir  0.0000  0.0000  0.5000  8 Sr 3.02-3.19, 4 Rh 3.19
Ir  0.5000  0.5000  0.0000  8 Sr 3.02-3.19, 4 Rh 3.19
Rh  0.0000  0.5000  0.7500  8 Sr 3.02-3.19, 4 Ir 3.19
Rh  0.5000  0.0000  0.2500  8 Sr 3.02-3.19, 4 Ir 3.19